Computed, not measured: crystalline Zr2ZnAg at its relaxed geometry at the PBE level of DFT.

Values from the calculation:
**Crystal system**: tetragonal

Cell and atoms, written as CIF:
```
data_Zr2ZnAg
_chemical_formula_sum 'Zr2 Zn1 Ag1'
_symmetry_space_group_name_H-M 'P 4 m m'
_symmetry_Int_Tables_number 99
_symmetry_space_group_name_Hall 'P 4 -2'
_cell_length_a 3.4169
_cell_length_b 3.4169
_cell_length_c 6.7693
_cell_angle_alpha 90.00
_cell_angle_beta 90.00
_cell_angle_gamma 90.00
loop_
_atom_site_label
_atom_site_type_symbol
_atom_site_fract_x
_atom_site_fract_y
_atom_site_fract_z
Zr1 Zr 0.0000 0.0000 0.0000
Zr2 Zr 0.5000 0.5000 0.2893
Zn1 Zn 0.5000 0.5000 0.7555
Ag1 Ag 0.0000 0.0000 0.5482
```



Computed, not measured: crystalline ZrZnAg3 at its relaxed geometry at the PBE level of DFT.

Values from the calculation:
**Distance to the lowest polymorph of the same formula**: 0 meV per atom
**Crystal system**: cubic

Cell and atoms, written as CIF:
```
data_ZrZnAg3
_chemical_formula_sum 'Zr1 Zn1 Ag3'
_symmetry_space_group_name_H-M 'P m -3 m'
_symmetry_Int_Tables_number 221
_symmetry_space_group_name_Hall '-P 4 2 3'
_cell_length_a 4.7455
_cell_length_b 4.7455
_cell_length_c 4.7455
_cell_angle_alpha 90.00
_cell_angle_beta 90.00
_cell_angle_gamma 90.00
loop_
_atom_site_label
_atom_site_type_symbol
_atom_site_fract_x
_atom_site_fract_y
_atom_site_fract_z
Zr1 Zr 0.0000 0.0000 0.0000
Zn1 Zn 0.5000 0.5000 0.5000
Ag1 Ag 0.0000 0.5000 0.5000
```



Computed, not measured: crystalline ZrZnAg2 at its relaxed geometry at the PBE level of DFT.

Values from the calculation:
**Crystal system**: orthorhombic

Cell and atoms, written as CIF:
```
data_ZrZnAg2
_chemical_formula_sum 'Zr1 Zn1 Ag2'
_symmetry_space_group_name_H-M 'P m m m'
_symmetry_Int_Tables_number 47
_symmetry_space_group_name_Hall '-P 2 2'
_cell_length_a 3.0603
_cell_length_b 4.8989
_cell_length_c 4.9818
_cell_angle_alpha 90.00
_cell_angle_beta 90.00
_cell_angle_gamma 90.00
loop_
_atom_site_label
_atom_site_type_symbol
_atom_site_fract_x
_atom_site_fract_y
_atom_site_fract_z
Zr1 Zr 0.0000 0.0000 0.0000
Zn1 Zn 0.5000 0.5000 0.0000
Ag1 Ag 0.0000 0.5000 0.5000
Ag2 Ag 0.5000 0.0000 0.5000
```



Computed, not measured: crystalline Zr2ZnAg at its relaxed geometry at the PBE level of DFT.

Values from the calculation:
**Crystal system**: orthorhombic

Cell and atoms, written as CIF:
```
data_Zr2ZnAg
_chemical_formula_sum 'Zr2 Zn1 Ag1'
_symmetry_space_group_name_H-M 'P m m 2'
_symmetry_Int_Tables_number 25
_symmetry_space_group_name_Hall 'P 2 -2'
_cell_length_a 2.9913
_cell_length_b 4.9845
_cell_length_c 5.2135
_cell_angle_alpha 90.00
_cell_angle_beta 90.00
_cell_angle_gamma 90.00
loop_
_atom_site_label
_atom_site_type_symbol
_atom_site_fract_x
_atom_site_fract_y
_atom_site_fract_z
Zr1 Zr 0.0000 0.0000 0.0000
Zr2 Zr 0.0000 0.5000 0.3906
Zn1 Zn 0.5000 0.0000 0.5020
Ag1 Ag 0.5000 0.5000 0.8688
```



Computed, not measured: crystalline ZrZnAg3 at its relaxed geometry at the PBE level of DFT.

Values from the calculation:
**Distance to the lowest polymorph of the same formula**: 686 meV per atom
**Crystal system**: cubic

Cell and atoms, written as CIF:
```
data_ZrZnAg3
_chemical_formula_sum 'Zr1 Zn1 Ag3'
_symmetry_space_group_name_H-M 'P m -3 m'
_symmetry_Int_Tables_number 221
_symmetry_space_group_name_Hall '-P 4 2 3'
_cell_length_a 5.3649
_cell_length_b 5.3649
_cell_length_c 5.3649
_cell_angle_alpha 90.00
_cell_angle_beta 90.00
_cell_angle_gamma 90.00
loop_
_atom_site_label
_atom_site_type_symbol
_atom_site_fract_x
_atom_site_fract_y
_atom_site_fract_z
Zr1 Zr 0.0000 0.0000 0.0000
Zn1 Zn 0.5000 0.5000 0.5000
Ag1 Ag 0.0000 0.0000 0.5000
```



Computed, not measured: crystalline Zr2Zn6Ag at its relaxed geometry at the PBE level of DFT.

Values from the calculation:
**Distance to the lowest polymorph of the same formula**: 0 meV per atom
**Crystal system**: hexagonal

Cell and atoms, written as CIF:
```
data_Zr2Zn6Ag
_chemical_formula_sum 'Zr2 Zn6 Ag1'
_symmetry_space_group_name_H-M 'P 6/m m m'
_symmetry_Int_Tables_number 191
_symmetry_space_group_name_Hall '-P 6 2'
_cell_length_a 7.6727
_cell_length_b 7.6727
_cell_length_c 2.9881
_cell_angle_alpha 90.00
_cell_angle_beta 90.00
_cell_angle_gamma 120.00
loop_
_atom_site_label
_atom_site_type_symbol
_atom_site_fract_x
_atom_site_fract_y
_atom_site_fract_z
Zr1 Zr 0.3333 0.6667 0.0000
Zn1 Zn 0.0000 0.3301 0.5000
Ag1 Ag 0.0000 0.0000 0.0000
```



Computed, not measured: crystalline ZrZnAg2 at its relaxed geometry at the PBE level of DFT.

Values from the calculation:
**Crystal system**: monoclinic

Cell and atoms, written as CIF:
```
data_ZrZnAg2
_chemical_formula_sum 'Zr1 Zn1 Ag2'
_symmetry_space_group_name_H-M 'P 1 2/m 1'
_symmetry_Int_Tables_number 10
_symmetry_space_group_name_Hall '-P 2y'
_cell_length_a 2.8483
_cell_length_b 4.5642
_cell_length_c 5.7521
_cell_angle_alpha 90.00
_cell_angle_beta 99.97
_cell_angle_gamma 90.00
loop_
_atom_site_label
_atom_site_type_symbol
_atom_site_fract_x
_atom_site_fract_y
_atom_site_fract_z
Zr1 Zr 0.0000 0.0000 0.0000
Zn1 Zn 0.5000 0.0000 0.5000
Ag1 Ag 0.3634 0.5000 0.7393
```



Computed, not measured: crystalline Zr3ZnAg at its relaxed geometry at the PBE level of DFT.

Values from the calculation:
**Distance to the lowest polymorph of the same formula**: 313 meV per atom
**Crystal system**: cubic

Cell and atoms, written as CIF:
```
data_Zr3ZnAg
_chemical_formula_sum 'Zr3 Zn1 Ag1'
_symmetry_space_group_name_H-M 'P m -3 m'
_symmetry_Int_Tables_number 221
_symmetry_space_group_name_Hall '-P 4 2 3'
_cell_length_a 5.1317
_cell_length_b 5.1317
_cell_length_c 5.1317
_cell_angle_alpha 90.00
_cell_angle_beta 90.00
_cell_angle_gamma 90.00
loop_
_atom_site_label
_atom_site_type_symbol
_atom_site_fract_x
_atom_site_fract_y
_atom_site_fract_z
Zr1 Zr 0.0000 0.0000 0.5000
Zn1 Zn 0.5000 0.5000 0.5000
Ag1 Ag 0.0000 0.0000 0.0000
```



Computed, not measured: crystalline ZrZnAg2 at its relaxed geometry at the PBE level of DFT.

Values from the calculation:
**Crystal system**: trigonal

Cell and atoms, written as CIF:
```
data_ZrZnAg2
_chemical_formula_sum 'Zr3 Zn3 Ag6'
_symmetry_space_group_name_H-M 'R 3 m'
_symmetry_Int_Tables_number 160
_symmetry_space_group_name_Hall 'R 3 -2"'
_cell_length_a 2.9999
_cell_length_b 2.9999
_cell_length_c 28.4526
_cell_angle_alpha 90.00
_cell_angle_beta 90.00
_cell_angle_gamma 120.00
loop_
_atom_site_label
_atom_site_type_symbol
_atom_site_fract_x
_atom_site_fract_y
_atom_site_fract_z
Zr1 Zr 0.0000 0.0000 0.0000
Zn1 Zn 0.0000 0.0000 0.1669
Ag1 Ag 0.0000 0.0000 0.5773
Ag2 Ag 0.0000 0.0000 0.7562
```



Computed, not measured: crystalline ZrZn2Ag2 at its relaxed geometry at the PBE level of DFT.

Values from the calculation:
**Distance to the lowest polymorph of the same formula**: 104 meV per atom
**Crystal system**: tetragonal

Cell and atoms, written as CIF:
```
data_ZrZn2Ag2
_chemical_formula_sum 'Zr2 Zn4 Ag4'
_symmetry_space_group_name_H-M 'I 4/m m m'
_symmetry_Int_Tables_number 139
_symmetry_space_group_name_Hall '-I 4 2'
_cell_length_a 3.8032
_cell_length_b 3.8032
_cell_length_c 12.8173
_cell_angle_alpha 90.00
_cell_angle_beta 90.00
_cell_angle_gamma 90.00
loop_
_atom_site_label
_atom_site_type_symbol
_atom_site_fract_x
_atom_site_fract_y
_atom_site_fract_z
Zr1 Zr 0.0000 0.0000 0.0000
Zn1 Zn 0.0000 0.5000 0.2500
Ag1 Ag 0.0000 0.0000 0.3950
```



Computed, not measured: crystalline ZrZnAg2 at its relaxed geometry at the PBE level of DFT.

Values from the calculation:
**Crystal system**: tetragonal

Cell and atoms, written as CIF:
```
data_ZrZnAg2
_chemical_formula_sum 'Zr4 Zn4 Ag8'
_symmetry_space_group_name_H-M 'I -4 2 d'
_symmetry_Int_Tables_number 122
_symmetry_space_group_name_Hall 'I -4 2bw'
_cell_length_a 4.0115
_cell_length_b 4.0115
_cell_length_c 19.6391
_cell_angle_alpha 90.00
_cell_angle_beta 90.00
_cell_angle_gamma 90.00
loop_
_atom_site_label
_atom_site_type_symbol
_atom_site_fract_x
_atom_site_fract_y
_atom_site_fract_z
Zr1 Zr 0.0000 0.0000 0.0000
Zn1 Zn 0.0000 0.0000 0.5000
Ag1 Ag 0.2344 0.2500 0.6250
```



Computed, not measured: crystalline Zr2ZnAg at its relaxed geometry at the PBE level of DFT.

Values from the calculation:
**Crystal system**: tetragonal

Cell and atoms, written as CIF:
```
data_Zr2ZnAg
_chemical_formula_sum 'Zr8 Zn4 Ag4'
_symmetry_space_group_name_H-M 'I -4 2 d'
_symmetry_Int_Tables_number 122
_symmetry_space_group_name_Hall 'I -4 2bw'
_cell_length_a 7.7753
_cell_length_b 7.7753
_cell_length_c 5.4680
_cell_angle_alpha 90.00
_cell_angle_beta 90.00
_cell_angle_gamma 90.00
loop_
_atom_site_label
_atom_site_type_symbol
_atom_site_fract_x
_atom_site_fract_y
_atom_site_fract_z
Zr1 Zr 0.2405 0.2500 0.1250
Zn1 Zn 0.0000 0.0000 0.0000
Ag1 Ag 0.0000 0.0000 0.5000
```



Computed, not measured: crystalline Zr2ZnAg at its relaxed geometry at the PBE level of DFT.

Values from the calculation:
**Crystal system**: orthorhombic

Cell and atoms, written as CIF:
```
data_Zr2ZnAg
_chemical_formula_sum 'Zr4 Zn2 Ag2'
_symmetry_space_group_name_H-M 'A m m 2'
_symmetry_Int_Tables_number 38
_symmetry_space_group_name_Hall 'A 2 -2'
_cell_length_a 3.2253
_cell_length_b 2.8680
_cell_length_c 17.1946
_cell_angle_alpha 90.00
_cell_angle_beta 90.00
_cell_angle_gamma 90.00
loop_
_atom_site_label
_atom_site_type_symbol
_atom_site_fract_x
_atom_site_fract_y
_atom_site_fract_z
Zr1 Zr 0.0000 0.0000 0.0000
Zr2 Zr 0.0000 0.0000 0.2280
Zn1 Zn 0.5000 0.0000 0.6128
Ag1 Ag 0.5000 0.0000 0.8541
```



The evaluated DOS(E_F) for the records listed, in turn: 0.39; 0.75; 0.56; 0.81; 0.72; 0.46; 0.57; 1.92; 0.47; 0.80; 1.04; 1.02; 0.77 states/eV per atom.
The evaluated final energy for the records listed, in turn: -0.1992; -0.1153; -0.1408; -0.1990; -0.0901; -0.1197; -0.1437; -0.1824; -0.1419; -0.1207; -0.1339; -0.1861; -0.1959 Ha/atom.
The evaluated ΔH_f (0 K) for the records listed, in turn: -0.114; 0.538; 0.049; -0.110; 1.224; -0.191; -0.029; 0.991; 0.021; 0.076; 0.237; 0.240; -0.025 eV/atom.